Material: SrMg2As
Method: DFT, PBEsol
State: optimized geometry

Cell lengths 4.5661, 4.2649, 7.4815 Å; angles 110.04, 90.00, 122.37 degrees
Fractional positions:
Mg 0.9907 0.9814 0.9454
Mg 0.7145 0.4290 0.1863
As 0.2882 0.5763 0.8242
Sr 0.5066 0.0132 0.5442

* energy of formation: -0.384 eV per atom
* V: 112.5 Å³ per cell
* magnetic moment: 0.00 μB per cell

---

Material: LiLa2Ag
Method: DFT, PBEsol
State: optimized geometry

Cell lengths 3.6475, 3.6475, 7.6746 Å; angles 90.00, 90.00, 90.00 degrees
Fractional positions:
La 0.5000 0.5000 0.2767
La 0.0000 0.0000 0.9615
Ag 0.5000 0.5000 0.7071
Li 0.0000 0.0000 0.5547

* energy above the lowest structure with this stoichiometry: 0.0000 eV per atom
* energy of formation: -0.059 eV per atom
* V: 102.1 Å³ per cell
* magnetic moment: 0.00 μB per cell

---

Material: TaZnAu
Method: DFT, PBEsol
State: optimized geometry

Cell lengths 4.2677, 4.2677, 4.2677 Å; angles 60.00, 60.00, 60.00 degrees
Fractional positions:
Au 0.2500 0.2500 0.2500
Zn 0.5000 0.5000 0.5000
Ta 0.0000 0.0000 0.0000

* energy of formation: 0.139 eV per atom
* V: 55.0 Å³ per cell
* magnetic moment: 0.00 μB per cell

---

Material: MgTl5
Method: DFT, PBEsol
State: optimized geometry

Cell lengths 4.7753, 4.5364, 7.8563 Å; angles 90.00, 107.69, 90.00 degrees
Fractional positions:
Tl 0.1642 0.0000 0.3285
Tl 0.3387 0.5000 0.6774
Tl 0.0000 0.5000 0.0000
Tl 0.8358 0.0000 0.6715
Tl 0.6613 0.5000 0.3226
Mg 0.5000 0.0000 0.0000

* energy of formation: 0.003 eV per atom
* V: 162.1 Å³ per cell
* magnetic moment: 0.00 μB per cell

---

Material: TeAuN2F
Method: DFT, PBEsol
State: optimized geometry

Cell lengths 4.4218, 4.1141, 4.1141 Å; angles 90.00, 90.00, 90.00 degrees
Fractional positions:
N 0.0000 0.0000 0.5000
N 0.0000 0.5000 0.0000
Te 0.5000 0.0000 0.0000
F 0.0000 0.0000 0.0000
Au 0.5000 0.5000 0.5000

* formation energy (no corrections): 186 kJ/mol of atoms
* V: 74.8 Å³ per cell
* magnetic moment: 3.73 μB per cell

---

Material: Pm2SnPd
Method: DFT, PBEsol
State: optimized geometry

Cell lengths 5.2064, 5.2064, 5.2064 Å; angles 60.00, 60.00, 60.00 degrees
Fractional positions:
Pd 0.5000 0.5000 0.5000
Pm 0.7500 0.7500 0.7500
Pm 0.2500 0.2500 0.2500
Sn 0.0000 0.0000 0.0000

* energy of formation: -0.690 eV per atom
* V: 99.8 Å³ per cell
* magnetic moment: 0.00 μB per cell

---

Material: TcHg2P
Method: DFT, PBEsol
State: optimized geometry

Cell lengths 2.8214, 2.8805, 10.1012 Å; angles 90.00, 90.00, 119.32 degrees
Fractional positions:
Hg 0.0000 0.0000 0.7577
Hg 0.0000 0.0000 0.2423
P 0.5000 0.0000 0.5000
Tc 0.5000 0.0000 0.0000

* energy of formation: 0.701 eV per atom
* V: 71.6 Å³ per cell
* magnetic moment: 0.01 μB per cell

---

Material: Cd2BiPb
Method: DFT, PBEsol
State: optimized geometry

Cell lengths 5.2878, 5.2878, 5.2878 Å; angles 60.00, 60.00, 60.00 degrees
Fractional positions:
Cd 0.2500 0.2500 0.2500
Cd 0.7500 0.7500 0.7500
Pb 0.0000 0.0000 0.0000
Bi 0.5000 0.5000 0.5000

* energy of formation: 0.100 eV per atom
* V: 104.5 Å³ per cell
* magnetic moment: 0.00 μB per cell

---

Material: CaTeRh2Se
Method: DFT, PBEsol
State: optimized geometry

Cell lengths 4.7406, 4.7406, 5.5954 Å; angles 90.00, 90.00, 90.00 degrees
Fractional positions:
Rh 0.0000 0.5000 0.0000
Rh 0.5000 0.0000 0.0000
Te 0.0000 0.0000 0.0000
Ca 0.5000 0.5000 0.5000
Se 0.0000 0.0000 0.5000

* formation energy (no corrections): 15 kJ/mol of atoms
* V: 125.7 Å³ per cell
* magnetic moment: 0.00 μB per cell

---

Material: CoAgOsW2
Method: DFT, PBEsol
State: optimized geometry

Cell lengths 4.4201, 4.6922, 4.6922 Å; angles 90.00, 90.00, 90.00 degrees
Fractional positions:
W 0.0000 0.5000 0.0000
W 0.0000 0.0000 0.5000
Ag 0.5000 0.5000 0.5000
Os 0.0000 0.0000 0.0000
Co 0.5000 0.0000 0.0000

* energy of formation: 1.974 eV per atom
* V: 97.3 Å³ per cell
* magnetic moment: 0.71 μB per cell